The following is a DFT calculation (PBE) of crystalline LiTbEr2Pd4 at its relaxed geometry.

## Properties
ΔH_f (0 K) = -805 meV per atom
E = -5.360 eV/atom
Mass density = 9.6 g/cm3

Unit cell a=4.8540 b=4.8540 c=23.4299 alpha=90.00 beta=90.00 gamma=120.00
Space group R-3m (No. 166, hexagonal axes)
Symmetry-distinct sites (fractional):
Li  0.0000  0.0000  0.0000
Tb  0.0000  0.0000  0.5000
Er  0.0000  0.0000  0.2577
Pd  0.0000  0.0000  0.1241
Pd  0.0000  0.0000  0.3781